First-principles (PBE-GGA) data for a relaxed structure of LaHAu2, as listed in the Alexandria database.

abc: 4.967 4.967 4.967
angles: 60.00 60.00 60.00
Element x y z (fractional)
La 0.000 0.000 0.000
H 0.500 0.500 0.500
Au 0.250 0.250 0.250
Au 0.750 0.750 0.750

Output
For the magnetic moment, the calculation gives 0.00 μB per formula unit. The volume is 86.6 Å³ per cell. The value obtained for the distance to the lowest polymorph of the same formula is 1.79 eV/f.u. The total energy comes out at -15.42 eV/cell. For the calculated density, the calculation gives 10.233 g/cm³.

***

First-principles (PBE-GGA) data for a relaxed structure of Ho12Zn6Tc, as listed in the Alexandria database.

abc: 7.828 7.828 7.828
angles: 90.46 90.46 90.46
Element x y z (fractional)
Ho 0.047 0.303 0.945
Ho 0.055 0.953 0.697
Ho 0.164 0.375 0.507
Ho 0.303 0.945 0.047
Ho 0.375 0.507 0.164
Ho 0.493 0.836 0.625
Ho 0.507 0.164 0.375
Ho 0.625 0.493 0.836
Ho 0.697 0.055 0.953
Ho 0.836 0.625 0.493
Ho 0.945 0.047 0.303
Ho 0.953 0.697 0.055
Zn 0.203 0.762 0.382
Zn 0.238 0.618 0.797
Zn 0.382 0.203 0.762
Zn 0.618 0.797 0.238
Zn 0.762 0.382 0.203
Zn 0.797 0.238 0.618
Tc 0.500 0.500 0.500

Output
For the magnetic moment, the calculation gives 0.00 μB per formula unit. The volume is 479.6 Å³ per cell. The total energy comes out at -74.48 eV/cell. Its energy of formation from the pure elements is -0.081 eV per atom. For the calculated density, the calculation gives 8.550 g/cm³.

***

First-principles (PBE-GGA) data for a relaxed structure of CrMoH2, as listed in the Alexandria database.

abc: 5.040 5.040 5.040
angles: 32.54 32.54 32.54
Element x y z (fractional)
Cr 0.000 0.000 0.000
Mo 0.164 0.164 0.164
H 0.401 0.401 0.401
H 0.600 0.600 0.600

Output
For the magnetic moment, the calculation gives 0.00 μB per formula unit. The volume is 33.0 Å³ per cell. The value obtained for the distance to the lowest polymorph of the same formula is 0.97 eV/f.u. The total energy comes out at -26.01 eV/cell. For the calculated density, the calculation gives 7.556 g/cm³.